Cs2UPaO6: relaxed, GGA-PBE.

Cell and atoms, written as POSCAR:
```
Cs2UPaO6
1.0
0.000 4.434 4.434
4.434 0.000 4.434
4.434 4.434 0.000
Cs U Pa O
2 1 1 6
Direct
0.250 0.250 0.250
0.750 0.750 0.750
0.000 0.000 0.000
0.500 0.500 0.500
0.249 0.249 0.751
0.249 0.751 0.249
0.249 0.751 0.751
0.751 0.249 0.249
0.751 0.249 0.751
0.751 0.751 0.249
```

Properties
Magnetic moment = 1.00 μB/f.u.
E_form (uncorrected) = -2.930 eV/atom